Here is a relaxed structure of TcMo from Alexandria via LeMat-Bulk. Energies are from GGA-PBE.

Structure (extended XYZ):
```
8
Lattice="5.0000 0.0000 0.0000 0.0000 5.0000 0.0000 0.0000 0.0000 5.0000" Properties=species:S:1:pos:R:3 pbc="T T T"
Tc 0.5252 0.5252 0.5252
Tc 1.9748 4.4748 3.0252
Tc 3.0252 1.9748 4.4748
Tc 4.4748 3.0252 1.9748
Mo 0.5032 3.0032 4.4967
Mo 1.9967 1.9967 1.9967
Mo 3.0032 4.4967 0.5032
Mo 4.4967 0.5032 3.0032
```

E above lowest polymorph ... 0.127 eV per atom
Spin magnetization ... 0.00 Bohr magnetons per cell
Fermi-level density of states ... 1.89 states/eV/f.u.
Final energy ... -20.792 eV/f.u.
Energy of formation ... 203 meV/atom
Space group ... P2_13

Here is a relaxed structure of PPtRh2 from Alexandria via LeMat-Bulk. Energies are from GGA-PBE.

Structure (extended XYZ):
```
4
Lattice="-2.0199 2.0199 3.5027 2.0199 -2.0199 3.5027 2.0199 2.0199 -3.5027" Properties=species:S:1:pos:R:3 pbc="T T T"
P 0.0000 0.0000 0.0000
Pt 0.0000 0.0000 3.5027
Rh 2.0199 0.0000 1.7514
Rh 0.0000 2.0199 1.7514
```

Spin magnetization ... 0.00 Bohr magnetons per cell
Fermi-level density of states ... 6.37 states/eV/f.u.
Final energy ... -26.150 eV/f.u.
Energy of formation ... 1 meV/atom
Space group ... I4/mmm

Here is a relaxed structure of HfNbAlMo from Alexandria via LeMat-Bulk. Energies are from GGA-PBE.

Structure (extended XYZ):
```
4
Lattice="0.0000 3.2868 3.2868 3.2868 0.0000 3.2868 3.2868 3.2868 0.0000" Properties=species:S:1:pos:R:3 pbc="T T T"
Hf 0.0000 0.0000 0.0000
Nb 3.2868 3.2868 3.2868
Al 1.6434 1.6434 1.6434
Mo 4.9303 4.9303 4.9303
```

Spin magnetization ... 0.00 Bohr magnetons per cell
Fermi-level density of states ... 0.91 states/eV/f.u.
Final energy ... -35.411 eV/f.u.
Energy of formation ... -204 meV/atom
Space group ... F-43m

Here is a relaxed structure of FeSi2Mo from Alexandria via LeMat-Bulk. Energies are from GGA-PBE.

Structure (extended XYZ):
```
4
Lattice="2.6657 0.0000 0.0000 0.0000 2.6657 0.0000 0.0000 0.0000 7.5903" Properties=species:S:1:pos:R:3 pbc="T T T"
Fe 0.0000 0.0000 0.0000
Si 0.0000 0.0000 3.7784
Si 1.3329 1.3329 6.1464
Mo 1.3329 1.3329 1.7939
```

Spin magnetization ... 0.00 Bohr magnetons per cell
Fermi-level density of states ... 3.54 states/eV/f.u.
Final energy ... -29.937 eV/f.u.
E_form (uncorrected) ... 51 meV/atom
Space group ... P4mm

Here is a relaxed structure of ReNiRh3 from Alexandria via LeMat-Bulk. Energies are from GGA-PBE.

Structure (extended XYZ):
```
5
Lattice="4.6698 0.0000 0.0000 0.0000 4.6698 0.0000 0.0000 0.0000 4.6698" Properties=species:S:1:pos:R:3 pbc="T T T"
Re 0.0000 0.0000 0.0000
Ni 2.3349 2.3349 2.3349
Rh 0.0000 0.0000 2.3349
Rh 0.0000 2.3349 0.0000
Rh 2.3349 0.0000 0.0000
```

E above lowest polymorph ... 1.248 eV per atom
Spin magnetization ... 0.80 Bohr magnetons per cell
Fermi-level density of states ... 8.27 states/eV/f.u.
Final energy ... -32.829 eV/f.u.
Energy of formation ... 1491 meV/atom
Space group ... Pm-3m

Here is a relaxed structure of ZnCdIn2Co from Alexandria via LeMat-Bulk. Energies are from GGA-PBE.

Structure (extended XYZ):
```
5
Lattice="4.9633 0.0000 0.0000 0.0000 4.9633 0.0000 0.0000 0.0000 4.7065" Properties=species:S:1:pos:R:3 pbc="T T T"
Zn 0.0000 0.0000 0.0000
Cd 2.4816 2.4816 0.0000
In 0.0000 2.4816 2.3532
In 2.4816 0.0000 2.3532
Co 0.0000 0.0000 2.3532
```

Spin magnetization ... 0.00 Bohr magnetons per cell
Fermi-level density of states ... 2.73 states/eV/f.u.
Final energy ... -13.932 eV/f.u.
Energy of formation ... 168 meV/atom
Space group ... P4/mmm

Here is a relaxed structure of DyY4Tl from Alexandria via LeMat-Bulk. Energies are from GGA-PBE.

Structure (extended XYZ):
```
6
Lattice="3.6093 0.0000 0.0000 0.0000 3.6093 0.0000 0.0000 0.0000 14.2084" Properties=species:S:1:pos:R:3 pbc="T T T"
Dy 0.0000 0.0000 0.0000
Y 0.0000 0.0000 5.0071
Y 0.0000 0.0000 9.2013
Y 1.8046 1.8046 2.4826
Y 1.8046 1.8046 11.7257
Tl 1.8046 1.8046 7.1042
```

E above lowest polymorph ... 0.000 eV per atom
Spin magnetization ... 0.00 Bohr magnetons per cell
Fermi-level density of states ... 7.13 states/eV/f.u.
Final energy ... -33.528 eV/f.u.
Energy of formation ... -117 meV/atom
Space group ... P4/mmm

Here is a relaxed structure of BaTcAu3 from Alexandria via LeMat-Bulk. Energies are from GGA-PBE.

Structure (extended XYZ):
```
5
Lattice="6.0051 0.0000 0.0000 0.0000 6.0051 0.0000 0.0000 0.0000 6.0051" Properties=species:S:1:pos:R:3 pbc="T T T"
Ba 0.0000 0.0000 0.0000
Tc 3.0026 3.0026 3.0026
Au 0.0000 0.0000 3.0026
Au 0.0000 3.0026 0.0000
Au 3.0026 0.0000 0.0000
```

E above lowest polymorph ... 1.327 eV per atom
Spin magnetization ... 5.47 Bohr magnetons per cell
Fermi-level density of states ... 5.01 states/eV/f.u.
Final energy ... -14.913 eV/f.u.
Energy of formation ... 1442 meV/atom
Space group ... Pm-3m

Here is a relaxed structure of Er2Rh3Pb2 from Alexandria via LeMat-Bulk. Energies are from GGA-PBE.

Structure (extended XYZ):
```
7
Lattice="4.1487 -2.3918 0.0000 4.1487 2.3918 0.0000 -2.7648 0.0000 7.5826" Properties=species:S:1:pos:R:3 pbc="T T T"
Er 0.0022 0.0000 2.8130
Er 5.5303 0.0000 4.7697
Rh 0.0000 0.0000 0.0000
Rh -0.0005 0.0000 5.7406
Rh 5.5330 0.0000 1.8421
Pb 2.7684 0.0000 1.1389
Pb 2.7641 0.0000 6.4437
```

Spin magnetization ... 0.00 Bohr magnetons per cell
Fermi-level density of states ... 3.43 states/eV/f.u.
Final energy ... -41.729 eV/f.u.
Energy of formation ... -447 meV/atom
Space group ... C2/m

Here is a relaxed structure of NaAs2CSe from Alexandria via LeMat-Bulk. Energies are from GGA-PBE.

Structure (extended XYZ):
```
5
Lattice="4.3793 0.0000 0.0000 0.0000 4.3793 0.0000 0.0000 0.0000 4.9403" Properties=species:S:1:pos:R:3 pbc="T T T"
Na 0.0000 0.0000 0.0000
As 0.0000 2.1897 2.4701
As 2.1897 0.0000 2.4701
C 2.1897 2.1897 2.4701
Se 2.1897 2.1897 0.0000
```

E above lowest polymorph ... 0.000 eV per atom
Spin magnetization ... 0.00 Bohr magnetons per cell
Fermi-level density of states ... 3.64 states/eV/f.u.
Final energy ... -19.276 eV/f.u.
E_form (uncorrected) ... 810 meV/atom
Space group ... P4/mmm

Here is a relaxed structure of YMo2Rh from Alexandria via LeMat-Bulk. Energies are from GGA-PBE.

Structure (extended XYZ):
```
8
Lattice="-3.8732 3.8732 2.6149 3.8732 -3.8732 2.6149 3.8732 3.8732 -2.6149" Properties=species:S:1:pos:R:3 pbc="T T T"
Y 0.0000 0.0000 0.0000
Y 0.0000 3.8732 1.3074
Mo 1.9366 -1.6041 1.9611
Mo 2.2691 1.9366 0.6537
Mo 1.9366 5.4773 -0.6537
Mo 1.6041 1.9366 3.2686
Rh 3.8732 0.0000 1.3074
Rh 0.0000 0.0000 2.6149
```

E above lowest polymorph ... 0.517 eV per atom
Spin magnetization ... 0.00 Bohr magnetons per cell
Fermi-level density of states ... 5.08 states/eV/f.u.
Final energy ... -33.545 eV/f.u.
Energy of formation ... 483 meV/atom
Space group ... I-42d

Here is a relaxed structure of CrRu2W from Alexandria via LeMat-Bulk. Energies are from GGA-PBE.

Structure (extended XYZ):
```
4
Lattice="-1.9352 1.9352 3.7547 1.9352 -1.9352 3.7547 1.9352 1.9352 -3.7547" Properties=species:S:1:pos:R:3 pbc="T T T"
Cr 0.0000 0.0000 0.0000
Ru 1.9352 0.0000 1.8774
Ru 0.0000 1.9352 1.8774
W 0.0000 0.0000 3.7547
```

E above lowest polymorph ... 0.016 eV per atom
Spin magnetization ... 0.00 Bohr magnetons per cell
Fermi-level density of states ... 5.61 states/eV/f.u.
Final energy ... -40.741 eV/f.u.
Energy of formation ... 97 meV/atom
Space group ... I4/mmm